Density functional theory data (PBE) for a relaxed structure of PmFeH8Rh4.

Properties
N(E_F)	0.408	states/eV/atom
calculated total energy	-5.1270	eV per atom
crystal system	trigonal

Lattice parameters (Å, degrees): 5.5468 5.5468 5.5468 61.68 61.68 61.68
Last column: nearest neighbours and their distance in Å.
Positions (direct):
Pm: 0.0000 0.0000 0.0000  4 H 2.19-2.20
Fe: 0.6090 0.6090 0.6090  3 H 1.74
H: 0.3635 0.3635 0.8546  3 Rh 1.81-1.91, 1 Fe 1.95
H: 0.3635 0.8546 0.3635  3 Rh 1.81-1.91, 1 Fe 1.95
H: 0.3776 0.3776 0.3776  4 Rh 1.77-1.91
H: 0.4706 0.8234 0.8234  1 Fe 1.74, 2 Rh 1.82
H: 0.8234 0.4706 0.8234  1 Fe 1.74, 2 Rh 1.82
H: 0.8234 0.8234 0.4706  1 Fe 1.74, 2 Rh 1.82
H: 0.8362 0.8362 0.8362  3 Rh 1.79
H: 0.8546 0.3635 0.3635  3 Rh 1.81-1.91, 1 Fe 1.95
Rh: 0.1226 0.6169 0.6169  6 H 1.79-1.91
Rh: 0.2457 0.2457 0.2457  4 H 1.77-1.81
Rh: 0.6169 0.1226 0.6169  6 H 1.79-1.91
Rh: 0.6169 0.6169 0.1226  6 H 1.79-1.91

=====

Density functional theory data (PBE) for a relaxed structure of NaHo2CuSe4.

Properties
E_form (uncorrected)	-1.46	eV per atom
calculated total energy	-5.0265	eV per atom
crystal system	orthorhombic

Lattice parameters (Å, degrees): 7.0696 7.0696 14.2510 90.00 90.00 146.78
Last column: nearest neighbours and their distance in Å.
Positions (direct):
Na: 0.1180 0.8820 0.7500  6 Se 3.05-3.16
Na: 0.8820 0.1180 0.2500  6 Se 3.05-3.16
Ho: 0.3654 0.6346 0.5678  6 Se 2.83-2.91
Ho: 0.3654 0.6346 0.9322  6 Se 2.83-2.91
Ho: 0.6346 0.3654 0.0678  6 Se 2.83-2.91
Ho: 0.6346 0.3654 0.4322  6 Se 2.83-2.91
Cu: 0.1550 0.8450 0.2500  4 Se 2.46-2.48
Cu: 0.8450 0.1550 0.7500  4 Se 2.46-2.48
Se: 0.0000 0.0000 0.0000  4 Ho 2.89
Se: 0.0000 0.0000 0.5000  4 Ho 2.89
Se: 0.2716 0.7284 0.1161  1 Cu 2.48
Se: 0.2716 0.7284 0.3839  1 Cu 2.48
Se: 0.4491 0.5509 0.7500  2 Cu 2.46
Se: 0.5509 0.4491 0.2500  2 Cu 2.46
Se: 0.7284 0.2716 0.6161  1 Cu 2.48
Se: 0.7284 0.2716 0.8839  1 Cu 2.48

=====

Density functional theory data (PBE) for a relaxed structure of LiAl3C.

Properties
ΔH_f (0 K)	1.579	eV/atom
N(E_F)	0.534	states/eV/atom
calculated total energy	-2.8939	eV per atom
crystal system	cubic
energy above the most stable polymorph in this dataset	1234	meV per atom

Lattice parameters (Å, degrees): 4.3009 4.3009 4.3009 90.00 90.00 90.00
Last column: nearest neighbours and their distance in Å.
Positions (direct):
Li: 0.0000 0.0000 0.0000  6 Al 2.15
Al: 0.0000 0.0000 0.5000  2 Li 2.15
Al: 0.0000 0.5000 0.0000  2 Li 2.15
Al: 0.5000 0.0000 0.0000  2 Li 2.15
C: 0.5000 0.5000 0.5000  12 Al 3.04

=====

Density functional theory data (PBE) for a relaxed structure of BeNb2OsN.

Properties
E_form (uncorrected)	-0.44	eV per atom
N(E_F)	0.529	states/eV/atom
calculated total energy	-9.1270	eV per atom
crystal system	tetragonal

Lattice parameters (Å, degrees): 4.4309 4.4309 3.2941 90.00 90.00 90.00
Last column: nearest neighbours and their distance in Å.
Positions (direct):
Be: 0.0000 0.0000 0.0000  2 N 1.65
Nb: 0.0000 0.5000 0.5000  2 N 2.22
Nb: 0.5000 0.0000 0.5000  2 N 2.22
Os: 0.5000 0.5000 0.0000  8 Nb 2.76
N: 0.0000 0.0000 0.5000  2 Be 1.65

=====

Density functional theory data (PBE) for a relaxed structure of SiSb4Os.

Properties
E_form (uncorrected)	1.37	eV per atom
N(E_F)	0.855	states/eV/atom
calculated total energy	-4.1583	eV per atom
crystal system	cubic

Lattice parameters (Å, degrees): 6.0212 6.0212 6.0212 60.00 60.00 60.00
Last column: nearest neighbours and their distance in Å.
Positions (direct):
Si: 0.0000 0.0000 0.0000  12 Sb 3.53, 4 Os 3.69
Sb: 0.3753 0.3753 0.3753  6 Sb 3.00-3.02
Sb: 0.3753 0.3753 0.8742  6 Sb 3.00-3.02
Sb: 0.3753 0.8742 0.3753  6 Sb 3.00-3.02
Sb: 0.8742 0.3753 0.3753  6 Sb 3.00-3.02
Os: 0.7500 0.7500 0.7500  12 Sb 3.53, 4 Si 3.69

=====

Density functional theory data (PBE) for a relaxed structure of Mn2TlAu.

Properties
ΔH_f (0 K)	0.270	eV/atom
N(E_F)	0.697	states/eV/atom
calculated total energy	-5.7253	eV per atom
crystal system	tetragonal
energy above the most stable polymorph in this dataset	21	meV per atom

Lattice parameters (Å, degrees): 4.8740 4.8740 4.8740 126.79 126.79 78.59
Last column: nearest neighbours and their distance in Å.
Positions (direct):
Mn: 0.2500 0.7500 0.5000  4 Tl 2.88, 4 Au 2.88, 4 Mn 3.09
Mn: 0.7500 0.2500 0.5000  4 Tl 2.88, 4 Au 2.88, 4 Mn 3.09
Tl: 0.0000 0.0000 0.0000  8 Mn 2.88, 4 Au 3.09
Au: 0.5000 0.5000 0.0000  8 Mn 2.88, 4 Tl 3.09

=====

Density functional theory data (PBE) for a relaxed structure of Pr6Os2RhBr3.

Properties
E_form (uncorrected)	-0.79	eV per atom
N(E_F)	0.507	states/eV/atom
calculated total energy	-6.0777	eV per atom
crystal system	monoclinic

Lattice parameters (Å, degrees): 7.2010 7.2010 8.2479 98.37 98.37 120.02
Last column: nearest neighbours and their distance in Å.
Positions (direct):
Pr: 0.0953 0.4343 0.8027  2 Os 2.84-2.85, 1 Rh 2.90
Pr: 0.2271 0.2271 0.1978  2 Os 2.84, 1 Rh 2.90
Pr: 0.4343 0.0953 0.8027  2 Os 2.84-2.85, 1 Rh 2.90
Pr: 0.5657 0.9047 0.1973  2 Os 2.84-2.85, 1 Rh 2.90
Pr: 0.7729 0.7729 0.8022  2 Os 2.84, 1 Rh 2.90
Pr: 0.9047 0.5657 0.1973  2 Os 2.84-2.85, 1 Rh 2.90
Os: 0.1664 0.8336 0.0000  6 Pr 2.84-2.85
Os: 0.8336 0.1664 0.0000  6 Pr 2.84-2.85
Rh: 0.5000 0.5000 0.0000  6 Pr 2.90
Br: 0.0000 0.0000 0.5000  6 Pr 3.36-3.40
Br: 0.3319 0.6681 0.5000  6 Pr 3.35-3.41
Br: 0.6681 0.3319 0.5000  6 Pr 3.35-3.41

=====

Density functional theory data (PBE) for a relaxed structure of NpMnOs2.

Properties
ΔH_f (0 K)	0.060	eV/atom
N(E_F)	1.220	states/eV/atom
calculated total energy	-11.0820	eV per atom
crystal system	tetragonal
energy above the most stable polymorph in this dataset	0	meV per atom

Lattice parameters (Å, degrees): 4.0370 4.0370 3.8546 90.00 90.00 90.00
Last column: nearest neighbours and their distance in Å.
Positions (direct):
Np: 0.0000 0.0000 0.0000  8 Os 2.79, 4 Mn 2.85
Mn: 0.5000 0.5000 0.0000  8 Os 2.79, 4 Np 2.85
Os: 0.0000 0.5000 0.5000  4 Mn 2.79, 4 Np 2.79, 4 Os 2.85
Os: 0.5000 0.0000 0.5000  4 Mn 2.79, 4 Np 2.79, 4 Os 2.85